(1)
DFT (PBE) results for a relaxed structure of ZnAsPtPb2.

Cell lengths 5.7731, 4.5992, 5.7731 Å; angles 90.00, 90.00, 90.00 degrees
Last column: nearest neighbours and their distance in Å.
Fractional coordinates of all 5 atoms:
Pt 0.0000 0.5000 0.0000  2 As 2.30
Pb 0.0000 0.0000 0.5000  2 As 2.89
Pb 0.5000 0.0000 0.0000  2 As 2.89
Zn 0.5000 0.5000 0.5000  8 Pb 3.69, 4 Pt 4.08
As 0.0000 0.0000 0.0000  2 Pt 2.30

Its formation energy is 0.409 eV per atom. The symmetry is No. 123.


(2)
DFT (PBE) results for a relaxed structure of GeTeBr3.

Cell lengths 5.4839, 5.4839, 5.4839 Å; angles 90.00, 90.00, 90.00 degrees
Last column: nearest neighbours and their distance in Å.
Fractional coordinates of all 5 atoms:
Br 0.0000 0.5000 0.0000  2 Ge 2.74
Br 0.0000 0.0000 0.5000  2 Ge 2.74
Br 0.5000 0.0000 0.0000  2 Ge 2.74
Ge 0.0000 0.0000 0.0000  6 Br 2.74
Te 0.5000 0.5000 0.5000  12 Br 3.88

For the uncorrected formation energy, the calculation gives 17 meV per atom. The symmetry is No. 221.


(3)
DFT (PBE) results for a relaxed structure of NpSbPtO6.

Cell lengths 5.3789, 5.3789, 10.0053 Å; angles 90.00, 90.00, 120.00 degrees
Last column: nearest neighbours and their distance in Å.
Fractional coordinates of all 18 atoms:
Sb 0.0000 0.0000 0.5000  6 O 2.28
Sb 0.0000 0.0000 0.0000  6 O 2.28
O 0.3478 0.0082 0.6340  1 Pt 2.08, 1 Np 2.14, 1 Sb 2.28
O 0.3396 0.9918 0.1340  1 Pt 2.08, 1 Np 2.14, 1 Sb 2.28
O 0.6604 0.6522 0.6340  1 Pt 2.08, 1 Np 2.14, 1 Sb 2.28
O 0.0082 0.6604 0.3660  1 Pt 2.08, 1 Np 2.14, 1 Sb 2.28
O 0.6522 0.6604 0.1340  1 Pt 2.08, 1 Np 2.14, 1 Sb 2.28
O 0.3478 0.3396 0.8660  1 Pt 2.08, 1 Np 2.14, 1 Sb 2.28
O 0.0082 0.3478 0.1340  1 Pt 2.08, 1 Np 2.14, 1 Sb 2.28
O 0.9918 0.3396 0.6340  1 Pt 2.08, 1 Np 2.14, 1 Sb 2.28
O 0.6604 0.0082 0.8660  1 Pt 2.08, 1 Np 2.14, 1 Sb 2.28
O 0.6522 0.9918 0.3660  1 Pt 2.08, 1 Np 2.14, 1 Sb 2.28
O 0.3396 0.3478 0.3660  1 Pt 2.08, 1 Np 2.14, 1 Sb 2.28
O 0.9918 0.6522 0.8660  1 Pt 2.08, 1 Np 2.14, 1 Sb 2.28
Np 0.3333 0.6667 0.7500  6 O 2.14
Np 0.6667 0.3333 0.2500  6 O 2.14
Pt 0.3333 0.6667 0.2500  6 O 2.08
Pt 0.6667 0.3333 0.7500  6 O 2.08

For the uncorrected formation energy, the calculation gives -1582 meV per atom. The symmetry is No. 163.


(4)
DFT (PBE) results for a relaxed structure of HoErLu2.

Cell lengths 5.5561, 5.5561, 5.5561 Å; angles 60.00, 60.00, 60.00 degrees
Last column: nearest neighbours and their distance in Å.
Fractional coordinates of all 4 atoms:
Lu 0.2500 0.2500 0.2500  4 Ho 3.40, 4 Er 3.40
Lu 0.7500 0.7500 0.7500  4 Er 3.40, 4 Ho 3.40
Er 0.5000 0.5000 0.5000  8 Lu 3.40
Ho 0.0000 0.0000 0.0000  8 Lu 3.40

Its formation energy is 0.128 eV per atom. The symmetry is No. 225.


(5)
DFT (PBE) results for a relaxed structure of ZnSiBr2.

Cell lengths 4.0225, 4.8575, 6.8106 Å; angles 66.18, 90.00, 90.00 degrees
Last column: nearest neighbours and their distance in Å.
Fractional coordinates of all 4 atoms:
Zn 0.5000 0.7396 0.6494  2 Si 2.51, 1 Br 2.57
Si 0.0000 0.4691 0.5957  1 Br 2.33, 2 Zn 2.51
Br 0.5000 0.2873 0.3682  1 Zn 2.57
Br 0.0000 0.0041 0.8866  1 Si 2.33

For the uncorrected formation energy, the calculation gives -135 meV per atom. The symmetry is No. 6.


(6)
DFT (PBE) results for a relaxed structure of MgAg2Au.

Cell lengths 4.9679, 2.9890, 4.9353 Å; angles 87.58, 90.00, 90.00 degrees
Last column: nearest neighbours and their distance in Å.
Fractional coordinates of all 4 atoms:
Ag 0.0000 0.4933 0.5021  6 Ag 2.79-2.99, 2 Au 2.89, 2 Mg 2.89
Ag 0.0000 0.0067 0.9979  6 Ag 2.79-2.99, 2 Au 2.89, 2 Mg 2.89
Mg 0.5000 0.7500 0.7500  4 Au 2.83-2.94, 4 Ag 2.89, 2 Mg 2.99
Au 0.5000 0.2500 0.2500  4 Mg 2.83-2.94, 4 Ag 2.89, 2 Au 2.99

Its formation energy is -0.180 eV per atom. The symmetry is No. 10.


(7)
DFT (PBE) results for a relaxed structure of TbTm2Sc3As6.

Cell lengths 6.9096, 6.9096, 6.8915 Å; angles 99.61, 99.61, 120.00 degrees
Last column: nearest neighbours and their distance in Å.
Fractional coordinates of all 12 atoms:
Tm 0.3331 0.6669 0.0000  6 As 2.86
Tm 0.6669 0.3331 0.0000  6 As 2.86
Tb 0.0000 0.0000 0.0000  6 As 2.88
As 0.5761 0.9122 0.7368  3 Sc 2.76-2.78, 2 Tm 2.86, 1 Tb 2.88
As 0.2486 0.2486 0.7373  3 Sc 2.75-2.77, 2 Tm 2.86, 1 Tb 2.88
As 0.4239 0.0878 0.2632  3 Sc 2.76-2.78, 2 Tm 2.86, 1 Tb 2.88
As 0.7514 0.7514 0.2627  3 Sc 2.75-2.77, 2 Tm 2.86, 1 Tb 2.88
As 0.9122 0.5761 0.7368  3 Sc 2.76-2.78, 2 Tm 2.86, 1 Tb 2.88
As 0.0878 0.4239 0.2632  3 Sc 2.76-2.78, 2 Tm 2.86, 1 Tb 2.88
Sc 0.1659 0.8341 0.5000  6 As 2.76-2.78
Sc 0.8341 0.1659 0.5000  6 As 2.76-2.78
Sc 0.5000 0.5000 0.5000  6 As 2.75-2.78

Its formation energy is -1.436 eV per atom. The symmetry is No. 12.


(8)
DFT (PBE) results for a relaxed structure of BaLa2W.

Cell lengths 4.9617, 4.9617, 8.3747 Å; angles 82.65, 82.65, 42.03 degrees
Last column: nearest neighbours and their distance in Å.
Fractional coordinates of all 4 atoms:
Ba 0.2500 0.2500 0.2500  2 Ba 3.56, 6 La 3.56-3.91
La 0.4672 0.4672 0.5693  3 W 2.94-3.20
La 0.0328 0.0328 0.9307  3 W 2.94-3.20
W 0.7500 0.7500 0.7500  6 La 2.94-3.20

Its formation energy is 0.680 eV per atom. The symmetry is No. 12.


(9)
DFT (PBE) results for a relaxed structure of Rb2Nd2Te2Se.

Cell lengths 5.6242, 5.6242, 9.9592 Å; angles 106.40, 106.40, 90.00 degrees
Last column: nearest neighbours and their distance in Å.
Fractional coordinates of all 7 atoms:
Nd 0.5000 0.0000 0.0000  2 Se 2.81
Nd 0.0000 0.5000 0.0000  2 Se 2.81
Se 0.0000 0.0000 0.0000  4 Nd 2.81
Rb 0.8136 0.8136 0.6272  1 Se 3.40, 1 Te 3.73
Rb 0.1864 0.1864 0.3728  1 Se 3.40, 1 Te 3.73
Te 0.3905 0.3905 0.7810  4 Nd 3.45, 1 Rb 3.73
Te 0.6095 0.6095 0.2190  4 Nd 3.45, 1 Rb 3.73

For the uncorrected formation energy, the calculation gives -1169 meV per atom. The symmetry is No. 139.


(10)
DFT (PBE) results for a relaxed structure of BaFe2Ir.

Cell lengths 9.8133, 9.8133, 9.8133 Å; angles 17.94, 17.94, 17.94 degrees
Last column: nearest neighbours and their distance in Å.
Fractional coordinates of all 4 atoms:
Ir 0.2500 0.2500 0.2500  6 Fe 2.58
Ba 0.7500 0.7500 0.7500  6 Ba 3.06
Fe 0.9816 0.9816 0.9816  3 Ir 2.58
Fe 0.5184 0.5184 0.5184  3 Ir 2.58

Its formation energy is 0.943 eV per atom. The symmetry is No. 166.


(11)
DFT (PBE) results for a relaxed structure of LiPuTlPt.

Cell lengths 4.8722, 4.8722, 4.8722 Å; angles 60.00, 60.00, 60.00 degrees
Last column: nearest neighbours and their distance in Å.
Fractional coordinates of all 4 atoms:
Pu 0.0000 0.0000 0.0000  4 Pt 2.98, 4 Li 2.98
Li 0.2500 0.2500 0.2500  4 Pu 2.98, 4 Tl 2.98
Tl 0.5000 0.5000 0.5000  4 Li 2.98, 4 Pt 2.98
Pt 0.7500 0.7500 0.7500  4 Pu 2.98, 4 Tl 2.98

Its formation energy is -0.334 eV per atom. The symmetry is No. 216.


(12)
DFT (PBE) results for a relaxed structure of AcAg3F8.

Cell lengths 5.3604, 5.3604, 7.1313 Å; angles 90.00, 90.00, 120.00 degrees
Last column: nearest neighbours and their distance in Å.
Fractional coordinates of all 12 atoms:
F 0.8886 0.6672 0.2104  1 Ag 2.17
F 0.1114 0.3328 0.7896  1 Ag 2.17
F 0.3333 0.6667 0.4468  1 Ag 2.22
F 0.7785 0.1114 0.2104  1 Ag 2.17
F 0.6667 0.3333 0.5532  1 Ag 2.22
F 0.6672 0.7785 0.7896  1 Ag 2.17
F 0.2215 0.8886 0.7896  1 Ag 2.17
F 0.3328 0.2215 0.2104  1 Ag 2.17
Ag 0.6667 0.3333 0.8638  4 F 2.22-2.44
Ag 0.3333 0.6667 0.1362  4 F 2.22-2.44
Ag 0.0000 0.0000 0.0000  6 F 2.17
Ac 0.0000 0.0000 0.5000  6 F 2.60

For the uncorrected formation energy, the calculation gives -1886 meV per atom. The symmetry is No. 147.


no.,raw total energy (eV/f.u.)
1,-17.3
2,-12.7
3,-67.1
4,-17.7
5,-10.6
6,-11.3
7,-77.7
8,-22.0
9,-29.4
10,-23.9
11,-26.0
12,-50.3